Entry 1:
The following is a PBEsol calculation of a relaxed structure of CrHg3Sb, from the Alexandria database.

Geometry as CIF:
```
data_CrHg3Sb
_cell_length_a 5.5199
_cell_length_b 5.5199
_cell_length_c 5.5199
_cell_angle_alpha 90.00
_cell_angle_beta 90.00
_cell_angle_gamma 90.00
_symmetry_space_group_name_H-M 'P m -3 m'
_symmetry_Int_Tables_number 221
_symmetry_space_group_name_Hall '-P 4 2 3'
loop_
_atom_site_label
_atom_site_type_symbol
_atom_site_fract_x
_atom_site_fract_y
_atom_site_fract_z
Cr1 Cr 0.0000 0.0000 0.0000
Hg1 Hg 0.0000 0.5000 0.5000
Sb1 Sb 0.5000 0.5000 0.5000
```

Summary:
DOS(E_F): 1.814 states/eV per cell
Raw formation energy: 0.910 eV per atom
ρ: 7.657 g/cm³

---

Entry 2:
The following is a PBEsol calculation of a relaxed structure of VPO5, from the Alexandria database.

Geometry as CIF:
```
data_VPO5
_cell_length_a 12.4005
_cell_length_b 6.1359
_cell_length_c 10.5113
_cell_angle_alpha 90.00
_cell_angle_beta 90.00
_cell_angle_gamma 90.00
_symmetry_space_group_name_H-M 'P n a 21'
_symmetry_Int_Tables_number 33
_symmetry_space_group_name_Hall 'P 2c -2n'
loop_
_atom_site_label
_atom_site_type_symbol
_atom_site_fract_x
_atom_site_fract_y
_atom_site_fract_z
V1 V 0.1150 0.0046 0.0000
V2 V 0.2484 0.2798 0.7553
P1 P 0.0043 0.8358 0.2628
P2 P 0.1887 0.4994 0.0222
O1 O 0.0047 0.0291 0.8899
O2 O 0.0122 0.9847 0.1490
O3 O 0.0971 0.3107 0.7537
O4 O 0.1063 0.6937 0.2817
O5 O 0.1151 0.6987 0.9997
O6 O 0.1161 0.3015 0.0502
O7 O 0.2128 0.0410 0.8985
O8 O 0.2213 0.9630 0.1494
O9 O 0.2371 0.0469 0.6376
O10 O 0.2428 0.9574 0.4021
```

Summary:
DOS(E_F): 0.000 states/eV per cell
Raw formation energy: -2.221 eV per atom
ρ: 2.689 g/cm³
Relative energy among the computed polymorphs: 31.6 meV per atom

---

Entry 3:
The following is a PBEsol calculation of a relaxed structure of SrAl2Tl, from the Alexandria database.

Geometry as CIF:
```
data_SrAl2Tl
_cell_length_a 4.5786
_cell_length_b 4.5786
_cell_length_c 4.5924
_cell_angle_alpha 90.00
_cell_angle_beta 90.00
_cell_angle_gamma 90.00
_symmetry_space_group_name_H-M 'P 4/m m m'
_symmetry_Int_Tables_number 123
_symmetry_space_group_name_Hall '-P 4 2'
loop_
_atom_site_label
_atom_site_type_symbol
_atom_site_fract_x
_atom_site_fract_y
_atom_site_fract_z
Sr1 Sr 0.0000 0.0000 0.0000
Al1 Al 0.0000 0.5000 0.5000
Tl1 Tl 0.5000 0.5000 0.0000
```

Summary:
DOS(E_F): 2.035 states/eV per cell
ρ: 5.967 g/cm³
Relative energy among the computed polymorphs: 0.0 meV per atom
E_form: -0.043 eV/atom

---

Entry 4:
The following is a PBEsol calculation of a relaxed structure of Zr3AlTc, from the Alexandria database.

Geometry as CIF:
```
data_Zr3AlTc
_cell_length_a 4.9141
_cell_length_b 4.9141
_cell_length_c 4.9141
_cell_angle_alpha 90.00
_cell_angle_beta 90.00
_cell_angle_gamma 90.00
_symmetry_space_group_name_H-M 'P m -3 m'
_symmetry_Int_Tables_number 221
_symmetry_space_group_name_Hall '-P 4 2 3'
loop_
_atom_site_label
_atom_site_type_symbol
_atom_site_fract_x
_atom_site_fract_y
_atom_site_fract_z
Zr1 Zr 0.0000 0.0000 0.5000
Al1 Al 0.5000 0.5000 0.5000
Tc1 Tc 0.0000 0.0000 0.0000
```

Summary:
DOS(E_F): 7.373 states/eV per cell
ρ: 5.578 g/cm³
Relative energy among the computed polymorphs: 0.0 meV per atom
E_form: 0.460 eV/atom

---

Entry 5:
The following is a PBEsol calculation of a relaxed structure of NiOsRu3, from the Alexandria database.

Geometry as CIF:
```
data_NiOsRu3
_cell_length_a 4.5834
_cell_length_b 4.5834
_cell_length_c 4.5834
_cell_angle_alpha 90.00
_cell_angle_beta 90.00
_cell_angle_gamma 90.00
_symmetry_space_group_name_H-M 'P m -3 m'
_symmetry_Int_Tables_number 221
_symmetry_space_group_name_Hall '-P 4 2 3'
loop_
_atom_site_label
_atom_site_type_symbol
_atom_site_fract_x
_atom_site_fract_y
_atom_site_fract_z
Ni1 Ni 0.0000 0.0000 0.0000
Os1 Os 0.5000 0.5000 0.5000
Ru1 Ru 0.0000 0.5000 0.5000
```

Summary:
DOS(E_F): 8.154 states/eV per cell
ρ: 9.522 g/cm³
Relative energy among the computed polymorphs: 318.5 meV per atom
E_form: 2.197 eV/atom

---

Entry 6:
The following is a PBEsol calculation of a relaxed structure of TiTe2SO, from the Alexandria database.

Geometry as CIF:
```
data_TiTe2SO
_cell_length_a 5.1976
_cell_length_b 5.1976
_cell_length_c 4.4372
_cell_angle_alpha 90.00
_cell_angle_beta 90.00
_cell_angle_gamma 90.00
_symmetry_space_group_name_H-M 'P 4/m m m'
_symmetry_Int_Tables_number 123
_symmetry_space_group_name_Hall '-P 4 2'
loop_
_atom_site_label
_atom_site_type_symbol
_atom_site_fract_x
_atom_site_fract_y
_atom_site_fract_z
Ti1 Ti 0.0000 0.0000 0.0000
Te1 Te 0.0000 0.5000 0.5000
S1 S 0.0000 0.0000 0.5000
O1 O 0.5000 0.5000 0.0000
```

Summary:
DOS(E_F): 4.557 states/eV per cell
Raw formation energy: 0.670 eV per atom
ρ: 4.864 g/cm³

---

Entry 7:
The following is a PBEsol calculation of a relaxed structure of BaZn2Te, from the Alexandria database.

Geometry as CIF:
```
data_BaZn2Te
_cell_length_a 4.7366
_cell_length_b 4.7366
_cell_length_c 10.2862
_cell_angle_alpha 90.00
_cell_angle_beta 90.00
_cell_angle_gamma 90.00
_symmetry_space_group_name_H-M 'I 4/m m m'
_symmetry_Int_Tables_number 139
_symmetry_space_group_name_Hall '-I 4 2'
loop_
_atom_site_label
_atom_site_type_symbol
_atom_site_fract_x
_atom_site_fract_y
_atom_site_fract_z
Ba1 Ba 0.0000 0.0000 0.0000
Zn1 Zn 0.0000 0.5000 0.2500
Te1 Te 0.0000 0.0000 0.5000
```

Summary:
DOS(E_F): 2.731 states/eV per cell
Raw formation energy: -0.299 eV per atom
ρ: 5.695 g/cm³

---

Entry 8:
The following is a PBEsol calculation of a relaxed structure of Hf2ScCdP, from the Alexandria database.

Geometry as CIF:
```
data_Hf2ScCdP
_cell_length_a 4.8933
_cell_length_b 4.8933
_cell_length_c 5.0621
_cell_angle_alpha 90.00
_cell_angle_beta 90.00
_cell_angle_gamma 90.00
_symmetry_space_group_name_H-M 'P 4/m m m'
_symmetry_Int_Tables_number 123
_symmetry_space_group_name_Hall '-P 4 2'
loop_
_atom_site_label
_atom_site_type_symbol
_atom_site_fract_x
_atom_site_fract_y
_atom_site_fract_z
Hf1 Hf 0.0000 0.5000 0.0000
Sc1 Sc 0.0000 0.0000 0.0000
Cd1 Cd 0.0000 0.0000 0.5000
P1 P 0.5000 0.5000 0.5000
```

Summary:
DOS(E_F): 6.324 states/eV per cell
ρ: 7.471 g/cm³
E_form: 1.434 eV/atom

---

Entry 9:
The following is a PBEsol calculation of a relaxed structure of CoSbCl2, from the Alexandria database.

Geometry as CIF:
```
data_CoSbCl2
_cell_length_a 3.1365
_cell_length_b 4.4438
_cell_length_c 5.4360
_cell_angle_alpha 90.00
_cell_angle_beta 90.00
_cell_angle_gamma 90.00
_symmetry_space_group_name_H-M 'P m m m'
_symmetry_Int_Tables_number 47
_symmetry_space_group_name_Hall '-P 2 2'
loop_
_atom_site_label
_atom_site_type_symbol
_atom_site_fract_x
_atom_site_fract_y
_atom_site_fract_z
Co1 Co 0.0000 0.0000 0.0000
Sb1 Sb 0.5000 0.0000 0.5000
Cl1 Cl 0.0000 0.5000 0.5000
Cl2 Cl 0.5000 0.5000 0.0000
```

Summary:
DOS(E_F): 4.812 states/eV per cell
Raw formation energy: 0.269 eV per atom
ρ: 5.514 g/cm³
Relative energy among the computed polymorphs: 458.0 meV per atom

---

Entry 10:
The following is a PBEsol calculation of a relaxed structure of Re2HgTe, from the Alexandria database.

Geometry as CIF:
```
data_Re2HgTe
_cell_length_a 2.9294
_cell_length_b 2.9294
_cell_length_c 30.8929
_cell_angle_alpha 90.00
_cell_angle_beta 90.00
_cell_angle_gamma 120.00
_symmetry_space_group_name_H-M 'R 3 m'
_symmetry_Int_Tables_number 160
_symmetry_space_group_name_Hall 'R 3 -2"'
loop_
_atom_site_label
_atom_site_type_symbol
_atom_site_fract_x
_atom_site_fract_y
_atom_site_fract_z
Re1 Re 0.0000 0.0000 0.0000
Re2 Re 0.0000 0.0000 0.2689
Hg1 Hg 0.0000 0.0000 0.5216
Te1 Te 0.0000 0.0000 0.7433
```

Summary:
DOS(E_F): 8.368 states/eV per cell
Raw formation energy: 0.509 eV per atom
ρ: 15.202 g/cm³
Relative energy among the computed polymorphs: 0.0 meV per atom

---

Entry 11:
The following is a PBEsol calculation of a relaxed structure of TaCrSe, from the Alexandria database.

Geometry as CIF:
```
data_TaCrSe
_cell_length_a 4.1326
_cell_length_b 4.1326
_cell_length_c 3.0011
_cell_angle_alpha 90.00
_cell_angle_beta 90.00
_cell_angle_gamma 120.00
_symmetry_space_group_name_H-M 'P 3 m 1'
_symmetry_Int_Tables_number 156
_symmetry_space_group_name_Hall 'P 3 -2"'
loop_
_atom_site_label
_atom_site_type_symbol
_atom_site_fract_x
_atom_site_fract_y
_atom_site_fract_z
Ta1 Ta 0.0000 0.0000 0.0000
Cr1 Cr 0.6667 0.3333 0.4071
Se1 Se 0.3333 0.6667 0.4427
```

Summary:
DOS(E_F): 2.798 states/eV per cell
Raw formation energy: 0.068 eV per atom
ρ: 11.669 g/cm³
Relative energy among the computed polymorphs: 0.0 meV per atom

---

Entry 12:
The following is a PBEsol calculation of a relaxed structure of NiPtAu2, from the Alexandria database.

Geometry as CIF:
```
data_NiPtAu2
_cell_length_a 6.2195
_cell_length_b 6.2195
_cell_length_c 6.2195
_cell_angle_alpha 90.00
_cell_angle_beta 90.00
_cell_angle_gamma 90.00
_symmetry_space_group_name_H-M 'F -4 3 m'
_symmetry_Int_Tables_number 216
_symmetry_space_group_name_Hall 'F -4 2 3'
loop_
_atom_site_label
_atom_site_type_symbol
_atom_site_fract_x
_atom_site_fract_y
_atom_site_fract_z
Ni1 Ni 0.0000 0.0000 0.0000
Pt1 Pt 0.2500 0.2500 0.7500
Au1 Au 0.0000 0.0000 0.5000
Au2 Au 0.2500 0.2500 0.2500
```

Summary:
DOS(E_F): 16.602 states/eV per cell
ρ: 17.882 g/cm³
Relative energy among the computed polymorphs: 136.0 meV per atom
E_form: 0.154 eV/atom

---

Entry 13:
The following is a PBEsol calculation of a relaxed structure of Sc5Re2C7, from the Alexandria database.

Geometry as CIF:
```
data_Sc5Re2C7
_cell_length_a 7.7527
_cell_length_b 13.5678
_cell_length_c 3.1870
_cell_angle_alpha 90.00
_cell_angle_beta 90.00
_cell_angle_gamma 90.00
_symmetry_space_group_name_H-M 'C m m m'
_symmetry_Int_Tables_number 65
_symmetry_space_group_name_Hall '-C 2 2'
loop_
_atom_site_label
_atom_site_type_symbol
_atom_site_fract_x
_atom_site_fract_y
_atom_site_fract_z
Sc1 Sc 0.0000 0.0000 0.0000
Sc2 Sc 0.2107 0.3723 0.5000
Re1 Re 0.0000 0.2152 0.0000
C1 C 0.0000 0.1186 0.5000
C2 C 0.0000 0.5000 0.0000
C3 C 0.1748 0.5000 0.0000
C4 C 0.2500 0.2500 0.0000
```

Summary:
DOS(E_F): 5.178 states/eV per cell
ρ: 6.749 g/cm³
E_form: -0.541 eV/atom

---

Entry 14:
The following is a PBEsol calculation of a relaxed structure of Ba2ReHg, from the Alexandria database.

Geometry as CIF:
```
data_Ba2ReHg
_cell_length_a 8.7486
_cell_length_b 3.1638
_cell_length_c 8.8238
_cell_angle_alpha 90.00
_cell_angle_beta 95.17
_cell_angle_gamma 90.00
_symmetry_space_group_name_H-M 'C 1 2/m 1'
_symmetry_Int_Tables_number 12
_symmetry_space_group_name_Hall '-C 2y'
loop_
_atom_site_label
_atom_site_type_symbol
_atom_site_fract_x
_atom_site_fract_y
_atom_site_fract_z
Ba1 Ba 0.2477 0.0000 0.2191
Re1 Re 0.0000 0.5000 0.0000
Hg1 Hg 0.0000 0.0000 0.5000
```

Summary:
DOS(E_F): 9.742 states/eV per cell
ρ: 9.031 g/cm³
E_form: 0.841 eV/atom

---

Entry 15:
The following is a PBEsol calculation of a relaxed structure of MgIn2, from the Alexandria database.

Geometry as CIF:
```
data_MgIn2
_cell_length_a 7.0227
_cell_length_b 7.0227
_cell_length_c 5.9335
_cell_angle_alpha 90.00
_cell_angle_beta 90.00
_cell_angle_gamma 90.00
_symmetry_space_group_name_H-M 'I 4/m c m'
_symmetry_Int_Tables_number 140
_symmetry_space_group_name_Hall '-I 4 2c'
loop_
_atom_site_label
_atom_site_type_symbol
_atom_site_fract_x
_atom_site_fract_y
_atom_site_fract_z
Mg1 Mg 0.0000 0.0000 0.2500
In1 In 0.1535 0.3465 0.0000
```

Summary:
DOS(E_F): 5.377 states/eV per cell
ρ: 5.764 g/cm³
E_form: -0.015 eV/atom

---

Entry 16:
The following is a PBEsol calculation of a relaxed structure of CoAs2I, from the Alexandria database.

Geometry as CIF:
```
data_CoAs2I
_cell_length_a 6.6745
_cell_length_b 6.6745
_cell_length_c 6.6745
_cell_angle_alpha 90.00
_cell_angle_beta 90.00
_cell_angle_gamma 90.00
_symmetry_space_group_name_H-M 'F m -3 m'
_symmetry_Int_Tables_number 225
_symmetry_space_group_name_Hall '-F 4 2 3'
loop_
_atom_site_label
_atom_site_type_symbol
_atom_site_fract_x
_atom_site_fract_y
_atom_site_fract_z
Co1 Co 0.0000 0.0000 0.0000
As1 As 0.2500 0.2500 0.2500
I1 I 0.0000 0.0000 0.5000
```

Summary:
DOS(E_F): 13.879 states/eV per cell
Raw formation energy: 0.943 eV per atom
ρ: 7.499 g/cm³

---

Entry 17:
The following is a PBEsol calculation of a relaxed structure of MnZn2Se, from the Alexandria database.

Geometry as CIF:
```
data_MnZn2Se
_cell_length_a 3.8071
_cell_length_b 3.8257
_cell_length_c 8.2091
_cell_angle_alpha 90.00
_cell_angle_beta 90.00
_cell_angle_gamma 90.00
_symmetry_space_group_name_H-M 'I m m 2'
_symmetry_Int_Tables_number 44
_symmetry_space_group_name_Hall 'I 2 -2'
loop_
_atom_site_label
_atom_site_type_symbol
_atom_site_fract_x
_atom_site_fract_y
_atom_site_fract_z
Mn1 Mn 0.0000 0.0000 0.0000
Zn1 Zn 0.0000 0.0000 0.5002
Zn2 Zn 0.0000 0.5000 0.7498
Se1 Se 0.0000 0.5000 0.2508
```

Summary:
DOS(E_F): 2.583 states/eV per cell
Raw formation energy: 0.114 eV per atom
ρ: 7.353 g/cm³

---

Entry 18:
The following is a PBEsol calculation of a relaxed structure of TeC3Cl, from the Alexandria database.

Geometry as CIF:
```
data_TeC3Cl
_cell_length_a 3.8663
_cell_length_b 3.8663
_cell_length_c 3.8663
_cell_angle_alpha 90.00
_cell_angle_beta 90.00
_cell_angle_gamma 90.00
_symmetry_space_group_name_H-M 'P m -3 m'
_symmetry_Int_Tables_number 221
_symmetry_space_group_name_Hall '-P 4 2 3'
loop_
_atom_site_label
_atom_site_type_symbol
_atom_site_fract_x
_atom_site_fract_y
_atom_site_fract_z
Te1 Te 0.0000 0.0000 0.0000
C1 C 0.0000 0.5000 0.5000
Cl1 Cl 0.5000 0.5000 0.5000
```

Summary:
DOS(E_F): 3.861 states/eV per cell
Raw formation energy: 3.174 eV per atom
ρ: 5.720 g/cm³

---

Entry 19:
The following is a PBEsol calculation of a relaxed structure of Fe2AsBr, from the Alexandria database.

Geometry as CIF:
```
data_Fe2AsBr
_cell_length_a 3.1394
_cell_length_b 3.1394
_cell_length_c 6.9260
_cell_angle_alpha 90.00
_cell_angle_beta 90.00
_cell_angle_gamma 90.00
_symmetry_space_group_name_H-M 'P 4 m m'
_symmetry_Int_Tables_number 99
_symmetry_space_group_name_Hall 'P 4 -2'
loop_
_atom_site_label
_atom_site_type_symbol
_atom_site_fract_x
_atom_site_fract_y
_atom_site_fract_z
Fe1 Fe 0.0000 0.0000 0.0000
Fe2 Fe 0.5000 0.5000 0.1800
As1 As 0.0000 0.0000 0.3545
Br1 Br 0.5000 0.5000 0.7876
```

Summary:
DOS(E_F): 3.120 states/eV per cell
Raw formation energy: 0.097 eV per atom
ρ: 6.483 g/cm³
Relative energy among the computed polymorphs: 0.0 meV per atom

---

Entry 20:
The following is a PBEsol calculation of a relaxed structure of AlInBr3, from the Alexandria database.

Geometry as CIF:
```
data_AlInBr3
_cell_length_a 5.5213
_cell_length_b 5.5213
_cell_length_c 5.5213
_cell_angle_alpha 90.00
_cell_angle_beta 90.00
_cell_angle_gamma 90.00
_symmetry_space_group_name_H-M 'P m -3 m'
_symmetry_Int_Tables_number 221
_symmetry_space_group_name_Hall '-P 4 2 3'
loop_
_atom_site_label
_atom_site_type_symbol
_atom_site_fract_x
_atom_site_fract_y
_atom_site_fract_z
Al1 Al 0.0000 0.0000 0.0000
In1 In 0.5000 0.5000 0.5000
Br1 Br 0.0000 0.5000 0.5000
```

Summary:
DOS(E_F): 1.004 states/eV per cell
Raw formation energy: -0.300 eV per atom
ρ: 3.764 g/cm³